[1]
NaV3Hg after structural relaxation, computed with PBE.

Lattice parameters (Å, degrees): 5.209 5.209 5.209 90.00 90.00 90.00
Each line ends with the local moment (μB).
Fractional positions:
Na1 0.500 0.500 0.500  0.02
Hg1 0.000 0.000 0.000  0.13
V1 0.000 0.500 0.000  2.76
V2 0.000 0.000 0.500  2.76
V3 0.500 0.000 0.000  2.76

Its energy of formation is 1.55 eV per atom. For the total energy, the calculation gives -4.2432 eV per atom. Its symmetry is Pm-3m, No. 221.



[2]
SrTiCr2Se6 after structural relaxation, computed with PBE.

Lattice parameters (Å, degrees): 6.758 6.758 7.015 61.21 61.21 60.01
Each line ends with the local moment (μB).
Fractional positions:
Sr1 0.729 0.729 0.814  0.00
Ti1 0.331 0.331 0.006  0.23
Cr1 0.522 0.522 0.434  3.00
Cr2 0.010 0.010 0.970  2.92
Se1 0.613 0.255 0.212  -0.10
Se2 0.255 0.920 0.212  -0.10
Se3 0.920 0.613 0.211  -0.10
Se4 0.338 0.750 0.719  -0.07
Se5 0.751 0.193 0.719  -0.07
Se6 0.193 0.338 0.719  -0.07

The uncorrected formation energy comes out at -0.86 eV/atom. For the total energy, the calculation gives -5.8322 eV per atom. Its symmetry is R3, No. 146.



[3]
NaTlGe after structural relaxation, computed with PBE.

Lattice parameters (Å, degrees): 4.187 6.704 6.397 70.28 108.90 90.06
Fractional positions:
Na1 0.858 0.083 0.217
Na2 0.142 0.917 0.783
Tl1 0.160 0.401 0.822
Tl2 0.840 0.599 0.178
Ge1 0.499 0.694 0.499
Ge2 0.501 0.306 0.501

Its energy of formation is 0.03 eV per atom. For the total energy, the calculation gives -2.7390 eV per atom. Its symmetry is P-1, No. 2.



[4]
CaPd after structural relaxation, computed with PBE.

Lattice parameters (Å, degrees): 3.754 10.125 7.543 90.00 90.00 90.00
Fractional positions:
Ca1 0.500 0.839 0.635
Ca2 0.500 0.161 0.635
Ca3 0.500 0.339 0.135
Ca4 0.500 0.661 0.135
Ca5 0.500 0.000 0.161
Ca6 0.500 0.500 0.661
Pd1 0.000 0.294 0.855
Pd2 0.000 0.706 0.855
Pd3 0.000 0.794 0.355
Pd4 0.000 0.206 0.355
Pd5 0.000 0.000 0.860
Pd6 0.000 0.500 0.360

Its energy of formation is -0.47 eV per atom. For the total energy, the calculation gives -4.0683 eV per atom. Its symmetry is Amm2, No. 38.



[5]
CaOs2Au after structural relaxation, computed with PBE.

Lattice parameters (Å, degrees): 3.743 2.846 7.606 68.03 90.00 90.00
Fractional positions:
Os1 0.000 0.935 0.064
Os2 0.500 0.291 0.210
Ca1 0.500 0.745 0.754
Au1 0.000 0.528 0.472

Its energy of formation is 0.21 eV per atom. For the total energy, the calculation gives -6.7276 eV per atom. Its symmetry is Pmm2, No. 25.



[6]
Hf2FeBr after structural relaxation, computed with PBE.

Lattice parameters (Å, degrees): 5.780 5.780 7.351 66.85 66.85 90.00
Fractional positions:
Hf1 0.547 0.125 0.250
Hf2 0.203 0.625 0.250
Hf3 0.375 0.453 0.750
Hf4 0.875 0.797 0.750
Fe1 0.500 0.500 0.000
Fe2 0.250 0.750 0.500
Br1 0.000 0.000 0.000
Br2 0.750 0.250 0.500

The uncorrected formation energy comes out at 0.45 eV/atom. For the total energy, the calculation gives -7.0649 eV per atom. Its symmetry is I-42d, No. 122.



[7]
TbHo7Ni2 after structural relaxation, computed with PBE.

Lattice parameters (Å, degrees): 5.064 8.129 8.129 114.21 90.00 90.00
Fractional positions:
Tb1 0.000 0.000 0.000
Ho1 0.000 0.706 0.294
Ho2 0.000 0.294 0.706
Ho3 0.500 0.057 0.325
Ho4 0.500 0.943 0.675
Ho5 0.500 0.325 0.057
Ho6 0.500 0.675 0.943
Ho7 0.500 0.500 0.500
Ni1 0.500 0.702 0.298
Ni2 0.500 0.298 0.702

Its energy of formation is 0.07 eV per atom. For the total energy, the calculation gives -4.7562 eV per atom. Its symmetry is Cmmm, No. 65.



[8]
Li4Cu2Ir after structural relaxation, computed with PBE.

Lattice parameters (Å, degrees): 4.506 4.506 7.041 108.66 108.66 90.00
Fractional positions:
Li1 0.806 0.806 0.612
Li2 0.194 0.194 0.388
Li3 0.000 0.500 0.000
Li4 0.500 0.000 0.000
Cu1 0.595 0.595 0.191
Cu2 0.405 0.405 0.809
Ir1 0.000 0.000 0.000

Its energy of formation is 0.46 eV per atom. For the total energy, the calculation gives -3.0673 eV per atom. Its symmetry is I4/mmm, No. 139.



[9]
Y2TmIn3 after structural relaxation, computed with PBE.

Lattice parameters (Å, degrees): 7.896 7.896 8.407 90.00 90.00 143.01
Fractional positions:
Y1 0.000 0.000 0.000
Y2 0.000 0.000 0.500
Y3 0.334 0.666 0.500
Y4 0.666 0.334 0.500
Tm1 0.332 0.668 0.000
Tm2 0.668 0.332 0.000
In1 0.833 0.167 0.752
In2 0.500 0.500 0.248
In3 0.167 0.833 0.248
In4 0.833 0.167 0.248
In5 0.167 0.833 0.752
In6 0.500 0.500 0.752

Its energy of formation is -0.47 eV per atom. For the total energy, the calculation gives -4.7373 eV per atom. Its symmetry is Cmmm, No. 65.



[10]
LiCaNi2 after structural relaxation, computed with PBE.

Lattice parameters (Å, degrees): 4.027 3.929 5.183 68.36 90.00 90.00
Fractional positions:
Ca1 0.000 0.478 0.425
Li1 0.500 0.757 0.859
Ni1 0.000 0.178 0.009
Ni2 0.500 0.086 0.206

Its energy of formation is 0.09 eV per atom. For the total energy, the calculation gives -3.7783 eV per atom. Its symmetry is Pm, No. 6.



[11]
AsOsN3 after structural relaxation, computed with PBE.

Lattice parameters (Å, degrees): 3.694 3.694 3.694 90.00 90.00 90.00
Fractional positions:
As1 0.000 0.000 0.000
Os1 0.500 0.500 0.500
N1 0.000 0.500 0.000
N2 0.000 0.000 0.500
N3 0.500 0.000 0.000

The uncorrected formation energy comes out at 2.01 eV/atom. For the total energy, the calculation gives -6.1618 eV per atom. Its symmetry is Pm-3m, No. 221.



[12]
KTaSi2Br after structural relaxation, computed with PBE.

Lattice parameters (Å, degrees): 5.080 5.304 5.080 90.00 90.00 90.00
Each line ends with the local moment (μB).
Fractional positions:
K1 0.000 0.500 0.000  0.02
Si1 0.000 0.000 0.500  -0.06
Si2 0.500 0.000 0.000  -0.05
Br1 0.000 0.000 0.000  0.00
Ta1 0.500 0.500 0.500  1.80

The uncorrected formation energy comes out at 1.60 eV/atom. For the total energy, the calculation gives -3.4967 eV per atom. Its symmetry is P4/mmm, No. 123.



[13]
ZrBRh3 after structural relaxation, computed with PBE.

Lattice parameters (Å, degrees): 6.284 6.284 6.284 53.14 53.14 53.14
Fractional positions:
B1 0.171 0.171 0.171
B2 0.829 0.829 0.829
Rh1 0.407 0.916 0.915
Rh2 0.916 0.915 0.407
Rh3 0.085 0.593 0.084
Rh4 0.084 0.085 0.593
Rh5 0.593 0.084 0.085
Rh6 0.915 0.407 0.916
Zr1 0.389 0.389 0.389
Zr2 0.611 0.611 0.611

Its energy of formation is -0.60 eV per atom. For the total energy, the calculation gives -8.0549 eV per atom. Its symmetry is R-3m, No. 166.



[14]
KLiAu after structural relaxation, computed with PBE.

Lattice parameters (Å, degrees): 5.233 5.233 5.233 60.00 60.00 60.00
Fractional positions:
Au1 0.500 0.500 0.500
K1 0.750 0.750 0.750
Li1 0.000 0.000 0.000

Its energy of formation is 0.21 eV per atom. For the total energy, the calculation gives -1.8852 eV per atom. Its symmetry is F-43m, No. 216.



[15]
BICl after structural relaxation, computed with PBE.

Lattice parameters (Å, degrees): 6.463 3.992 7.785 106.55 82.10 94.60
Fractional positions:
I1 0.286 0.784 0.211
I2 0.714 0.216 0.789
Cl1 0.838 0.415 0.385
Cl2 0.162 0.585 0.615
B1 0.946 0.200 0.555
B2 0.054 0.800 0.445

The uncorrected formation energy comes out at -0.24 eV/atom. For the total energy, the calculation gives -3.6002 eV per atom. Its symmetry is P-1, No. 2.



[16]
MgZrSc2 after structural relaxation, computed with PBE.

Lattice parameters (Å, degrees): 5.076 5.076 5.076 60.00 60.00 60.00
Fractional positions:
Mg1 0.500 0.500 0.500
Sc1 0.000 0.000 0.000
Sc2 0.250 0.250 0.250
Zr1 0.750 0.750 0.750

Its energy of formation is 0.13 eV per atom. For the total energy, the calculation gives -5.5759 eV per atom. Its symmetry is F-43m, No. 216.



[17]
KBe3 after structural relaxation, computed with PBE.

Lattice parameters (Å, degrees): 2.663 2.663 9.102 90.00 90.00 120.00
Fractional positions:
Be1 0.000 0.000 0.067
Be2 0.000 0.000 0.433
Be3 0.667 0.333 0.250
K1 0.667 0.333 0.750

Its energy of formation is 0.98 eV per atom. For the total energy, the calculation gives -2.0874 eV per atom. Its symmetry is P-6m2, No. 187.



[18]
Tl3In5 after structural relaxation, computed with PBE.

Lattice parameters (Å, degrees): 9.177 9.177 9.467 95.03 95.03 141.98
Fractional positions:
In1 0.254 0.755 0.514
In2 0.745 0.245 0.486
In3 0.765 0.077 0.799
In4 0.235 0.924 0.202
In5 0.744 0.559 0.307
In6 0.255 0.442 0.693
In7 0.576 0.265 0.798
In8 0.423 0.735 0.202
In9 0.058 0.245 0.307
In10 0.941 0.755 0.693
Tl1 0.720 0.780 0.000
Tl2 0.280 0.219 0.000
Tl3 0.310 0.189 0.500
Tl4 0.688 0.811 0.500
Tl5 0.208 0.709 0.888
Tl6 0.791 0.291 0.112

Its energy of formation is 0.05 eV per atom. For the total energy, the calculation gives -2.5439 eV per atom. Its symmetry is C2, No. 5.



[19]
ZrZn2Au2 after structural relaxation, computed with PBE.

Lattice parameters (Å, degrees): 3.765 3.765 7.030 74.47 74.47 90.00
Fractional positions:
Zn1 0.750 0.250 0.500
Zn2 0.250 0.750 0.500
Au1 0.395 0.395 0.210
Au2 0.605 0.605 0.790
Zr1 0.000 0.000 0.000

Its energy of formation is -0.27 eV per atom. For the total energy, the calculation gives -3.8044 eV per atom. Its symmetry is I4/mmm, No. 139.



[20]
BiBPt3 after structural relaxation, computed with PBE.

Lattice parameters (Å, degrees): 8.008 8.008 8.008 60.00 60.00 60.00
Fractional positions:
B1 0.125 0.125 0.125
B2 0.125 0.625 0.125
B3 0.625 0.125 0.125
B4 0.125 0.125 0.625
Bi1 0.625 0.625 0.625
Bi2 0.625 0.125 0.625
Bi3 0.125 0.625 0.625
Bi4 0.625 0.625 0.125
Pt1 0.808 0.192 0.192
Pt2 0.058 0.442 0.442
Pt3 0.442 0.442 0.058
Pt4 0.442 0.058 0.058
Pt5 0.058 0.442 0.058
Pt6 0.808 0.192 0.808
Pt7 0.442 0.058 0.442
Pt8 0.058 0.058 0.442
Pt9 0.192 0.808 0.192
Pt10 0.192 0.808 0.808
Pt11 0.192 0.192 0.808
Pt12 0.808 0.808 0.192

Its energy of formation is -0.21 eV per atom. For the total energy, the calculation gives -5.9471 eV per atom. Its symmetry is Fd-3m, No. 227.